The following is a PBE calculation of a relaxed BaLiPdCl6 crystal, from Alexandria.

POSCAR file:
```
BaLiPdCl6
1.0
3.393 -5.501 0.000
3.393 5.501 0.000
-0.290 0.000 6.674
Ba Li Pd Cl
1 1 1 6
Direct
0.000 0.000 0.000 Ba
0.320 0.680 0.500 Li
0.665 0.335 0.500 Pd
0.379 0.364 0.294 Cl
0.381 0.009 0.731 Cl
0.636 0.621 0.706 Cl
0.638 0.017 0.300 Cl
0.983 0.362 0.700 Cl
0.991 0.619 0.269 Cl
```

Results
Energy relative to the elements, uncorrected in eV per atom: -1.368
Crystal system: monoclinic
Energy in eV per cell: -32.42

***

The following is a PBE calculation of a relaxed Cs12KHg7 crystal, from Alexandria.

POSCAR file:
```
Cs12KHg7
1.0
12.068 6.968 2.637
-12.068 6.968 2.637
0.000 -13.935 2.637
Cs K Hg
12 1 7
Direct
0.043 0.140 0.342 Cs
0.140 0.342 0.043 Cs
0.219 0.615 0.753 Cs
0.247 0.781 0.385 Cs
0.342 0.043 0.140 Cs
0.385 0.247 0.781 Cs
0.615 0.753 0.219 Cs
0.658 0.957 0.860 Cs
0.753 0.219 0.615 Cs
0.781 0.385 0.247 Cs
0.860 0.658 0.957 Cs
0.957 0.860 0.658 Cs
0.500 0.500 0.500 K
0.000 0.000 0.000 Hg
0.158 0.462 0.371 Hg
0.371 0.158 0.462 Hg
0.462 0.371 0.158 Hg
0.538 0.629 0.842 Hg
0.629 0.842 0.538 Hg
0.842 0.538 0.629 Hg
```

Results
Energy of formation in eV/atom: -0.12
Crystal system: trigonal
Energy relative to the lowest polymorph listed for this composition in eV per atom: 0.007
Energy in eV per cell: -15.91

***

The following is a PBE calculation of a relaxed PmHfIr crystal, from Alexandria.

POSCAR file:
```
PmHfIr
1.0
4.595 0.000 0.000
0.000 4.595 0.000
0.000 0.000 6.800
Pm Hf Ir
2 2 2
Direct
0.250 0.250 0.132 Pm
0.750 0.750 0.868 Pm
0.250 0.750 0.500 Hf
0.750 0.250 0.500 Hf
0.250 0.250 0.706 Ir
0.750 0.750 0.294 Ir
```

Results
Energy of formation in eV/atom: -0.71
Crystal system: tetragonal
Energy relative to the lowest polymorph listed for this composition in eV per atom: 0.000
Energy in eV per cell: -51.38